P.
The following is a DFT calculation (GGA-PBE) of crystalline CaAuN2 at its relaxed geometry.

```
CaAuN2
1.0
0.000 2.973 2.973
2.973 0.000 2.973
2.973 2.973 0.000
Ca Au N
1 1 2
Direct
0.000 0.000 0.000
0.500 0.500 0.500
0.250 0.250 0.250
0.750 0.750 0.750
```

D(E_F) ... 5.768 states/eV/f.u.
Density ... 8.38 g cm⁻³

---

Q.
The following is a DFT calculation (GGA-PBE) of crystalline CaAuN2 at its relaxed geometry.

```
CaAuN2
1.0
1.943 1.122 5.806
-1.943 1.122 5.806
0.000 -2.244 5.806
Ca Au N
1 1 2
Direct
0.000 0.000 0.000
0.500 0.500 0.500
0.393 0.393 0.393
0.607 0.607 0.607
```

D(E_F) ... 2.295 states/eV/f.u.
Density ... 5.79 g cm⁻³

---

R.
The following is a DFT calculation (GGA-PBE) of crystalline CaAuN2 at its relaxed geometry.

```
CaAuN2
1.0
-2.446 2.446 5.564
2.446 -2.446 5.564
2.446 2.446 -5.564
Ca Au N
2 2 4
Direct
0.000 0.000 0.000
0.750 0.250 0.500
0.250 0.750 0.500
0.500 0.500 0.000
0.177 0.625 0.052
0.375 0.427 0.552
0.573 0.125 0.948
0.875 0.823 0.448
```

D(E_F) ... 1.589 states/eV/f.u.
Density ... 6.61 g cm⁻³

---

Energies relative to the minimum, eV/atom: P 0.371; Q 0.000; R 0.106

---

P.
The following is a DFT calculation (GGA-PBE) of crystalline CaAu3N at its relaxed geometry.

```
CaAu3N
1.0
4.578 0.000 0.000
0.000 4.578 0.000
0.000 0.000 4.578
Ca Au N
1 3 1
Direct
0.000 0.000 0.000
0.000 0.500 0.500
0.500 0.000 0.500
0.500 0.500 0.000
0.500 0.500 0.500
```

D(E_F) ... 1.382 states/eV/f.u.
Density ... 11.16 g cm⁻³

---

Q.
The following is a DFT calculation (GGA-PBE) of crystalline CaAu3N at its relaxed geometry.

```
CaAu3N
1.0
5.661 0.000 0.000
0.000 5.661 0.000
0.000 0.000 5.661
Ca Au N
1 3 1
Direct
0.000 0.000 0.000
0.000 0.000 0.500
0.000 0.500 0.000
0.500 0.000 0.000
0.500 0.500 0.500
```

D(E_F) ... 4.041 states/eV/f.u.
Density ... 5.90 g cm⁻³

---

Energies relative to the minimum, eV/atom: P 0.000; Q 1.276